{
  "formula": "PrCdHg",
  "functional": "PBE-GGA",
  "state": "optimized geometry",
  "cell": [[0.0000, 3.6392, 3.6392], [3.6392, 0.0000, 3.6392], [3.6392, 3.6392, 0.0000]],
  "species": ["Cd", "Hg", "Pr"],
  "frac_coords": [[0.2500, 0.2500, 0.2500], [0.7500, 0.7500, 0.7500], [0.0000, 0.0000, 0.0000]],
  "formation_energy_ev_per_atom": -0.05
}

***

{
  "formula": "PrCdHg",
  "functional": "PBE-GGA",
  "state": "optimized geometry",
  "cell": [[0.0000, 3.5468, 3.5468], [3.5468, 0.0000, 3.5468], [3.5468, 3.5468, 0.0000]],
  "species": ["Cd", "Hg", "Pr"],
  "frac_coords": [[0.2500, 0.2500, 0.2500], [0.0000, 0.0000, 0.0000], [0.7500, 0.7500, 0.7500]],
  "formation_energy_ev_per_atom": -0.28
}

***

{
  "formula": "Pr3CdHg5",
  "functional": "PBE-GGA",
  "state": "optimized geometry",
  "cell": [[9.2533, 0.0000, 0.0000], [-4.6266, 8.0136, 0.0000], [0.0000, 0.0000, 6.5390]],
  "species": ["Cd", "Cd", "Hg", "Hg", "Hg", "Hg", "Hg", "Hg", "Hg", "Hg", "Hg", "Hg", "Pr", "Pr", "Pr", "Pr", "Pr", "Pr"],
  "frac_coords": [[0.0000, 0.0000, 0.0000], [0.0000, 0.0000, 0.5000], [0.6667, 0.3333, 0.0000], [0.3333, 0.6667, 0.0000], [0.6855, 0.0000, 0.2500], [0.3145, 0.3145, 0.2500], [0.0000, 0.6855, 0.2500], [0.6667, 0.3333, 0.5000], [0.3333, 0.6667, 0.5000], [0.3145, 0.0000, 0.7500], [0.0000, 0.3145, 0.7500], [0.6855, 0.6855, 0.7500], [0.3492, 0.0000, 0.2500], [0.0000, 0.3492, 0.2500], [0.6508, 0.6508, 0.2500], [0.6508, 0.0000, 0.7500], [0.3492, 0.3492, 0.7500], [0.0000, 0.6508, 0.7500]],
  "formation_energy_ev_per_atom": -0.45
}

***

{
  "formula": "CdHg2Pt",
  "functional": "PBE-GGA",
  "state": "optimized geometry",
  "cell": [[-2.7657, -2.1865, 3.3144], [-3.0940, 2.5973, 2.6639], [-4.7653, -0.4256, -0.7249]],
  "species": ["Cd", "Hg", "Hg", "Pt"],
  "frac_coords": [[0.7500, 0.7500, 0.7500], [0.2500, 0.2500, 0.2500], [0.5000, 0.5000, 0.5000], [0.0000, 0.0000, 0.0000]],
  "formation_energy_ev_per_atom": 0.08
}

***

{
  "formula": "Cd2Hg2Pt",
  "functional": "PBE-GGA",
  "state": "optimized geometry",
  "cell": [[0.0000, 4.4527, 4.4759], [3.1633, 0.0000, 4.4759], [3.1633, 4.4527, 0.0000]],
  "species": ["Cd", "Cd", "Hg", "Hg", "Pt"],
  "frac_coords": [[0.5000, 0.5000, 0.0000], [0.0000, 0.0000, 0.5000], [0.0000, 0.5000, 0.0000], [0.5000, 0.0000, 0.5000], [0.0000, 0.0000, 0.0000]],
  "formation_energy_ev_per_atom": -0.18
}

***

{
  "formula": "CdHgPt2",
  "functional": "PBE-GGA",
  "state": "optimized geometry",
  "cell": [[-1.9800, -3.7100, -2.0284], [-4.6397, -0.5128, 0.0936], [-2.4868, 0.5303, -3.9158]],
  "species": ["Cd", "Hg", "Pt", "Pt"],
  "frac_coords": [[0.7500, 0.7500, 0.7500], [0.5000, 0.5000, 0.5000], [0.0000, 0.0000, 0.0000], [0.2500, 0.2500, 0.2500]],
  "formation_energy_ev_per_atom": -0.03
}

***

{
  "formula": "RbCdHg2Pt",
  "functional": "PBE-GGA",
  "state": "optimized geometry",
  "cell": [[-5.1828, -1.3691, 0.6092], [1.4811, -5.0136, 1.3331], [0.2253, 1.4319, 5.1349]],
  "species": ["Cd", "Hg", "Hg", "Pt", "Rb"],
  "frac_coords": [[0.0000, 0.0000, 0.5000], [0.5000, 0.0000, 0.0000], [0.0000, 0.5000, 0.0000], [0.0000, 0.0000, 0.0000], [0.5000, 0.5000, 0.5000]],
  "total_energy_ev_per_atom": -1.97
}

***

{
  "formula": "RbCd2HgPt",
  "functional": "PBE-GGA",
  "state": "optimized geometry",
  "cell": [[5.3274, 0.0000, 0.0000], [0.0000, 5.3274, 0.0000], [0.0000, 0.0000, 5.3855]],
  "species": ["Cd", "Cd", "Hg", "Pt", "Rb"],
  "frac_coords": [[0.5000, 0.0000, 0.0000], [0.0000, 0.5000, 0.0000], [0.0000, 0.0000, 0.5000], [0.0000, 0.0000, 0.0000], [0.5000, 0.5000, 0.5000]],
  "total_energy_ev_per_atom": -2.08
}

***

Here are the calculated spin magnetization numbers, same order: 0.01, 0.02, 0.00, 0.00, 0.00, 0.00, 0.01, 0.00 (μB/cell).
Here are the calculated V numbers, same order: 32.1, 29.7, 26.9, 20.0, 25.2, 18.0, 31.1, 30.6 (Å³ per atom).